(1)
A geometry-optimized NaSm2Se3 structure, computed with PBEsol. Values from VASP.

Calculated values
Crystal system: orthorhombic
Formation energy without anion corrections: -1.747 eV per atom

Geometry as Quantum ESPRESSO input:
```
&SYSTEM
  ibrav = 0, nat = 6, ntyp = 3
/
ATOMIC_SPECIES
Se 78.96 Se.upf
Na 22.99 Na.upf
Sm 150.36 Sm.upf
CELL_PARAMETERS angstrom
-1.9844 -0.7045 3.5228
2.2779 -5.3481 0.2137
4.7470 5.2385 1.3308
ATOMIC_POSITIONS angstrom
Se 0.6607 0.3950 2.8419
Se 1.1390 -2.6740 0.1068
Na 0.0000 0.0000 0.0000
Sm 3.2890 1.4868 2.1501
Sm 1.7514 -2.3009 2.9172
Se 4.3797 -1.2090 2.2254
```

***

(2)
A geometry-optimized OsW2 structure, computed with PBEsol. Values from VASP.

Calculated values
Crystal system: hexagonal
E_form: 527 meV/atom
E above lowest polymorph: 0.5133 eV per atom

Geometry as Quantum ESPRESSO input:
```
&SYSTEM
  ibrav = 0, nat = 3, ntyp = 2
/
ATOMIC_SPECIES
W 183.84 W.upf
Os 190.23 Os.upf
CELL_PARAMETERS angstrom
2.7156 0.0000 0.0000
0.0000 4.4186 0.0000
0.0000 -2.2093 3.8266
ATOMIC_POSITIONS angstrom
W 1.3578 2.2093 1.2755
Os 0.0000 0.0000 0.0000
W 1.3578 0.0000 2.5511
```

***

(3)
A geometry-optimized LaTaMo2 structure, computed with PBEsol. Values from VASP.

Calculated values
Crystal system: tetragonal
E_form: 715 meV/atom
E above lowest polymorph: 0.3733 eV per atom

Geometry as Quantum ESPRESSO input:
```
&SYSTEM
  ibrav = 0, nat = 4, ntyp = 3
/
ATOMIC_SPECIES
Mo 95.94 Mo.upf
Ta 180.95 Ta.upf
La 138.91 La.upf
CELL_PARAMETERS angstrom
3.8851 0.0000 0.0000
0.0000 3.8851 0.0000
-1.9425 -1.9425 4.9842
ATOMIC_POSITIONS angstrom
Mo 0.0000 0.0000 0.0000
Ta 1.9425 1.9425 0.0000
La 0.0000 1.9425 2.4921
Mo 1.9425 0.0000 2.4921
```

***

(4)
A geometry-optimized CrNiP2O8 structure, computed with PBEsol. Values from VASP.

Calculated values
Crystal system: monoclinic
E above lowest polymorph: 0.0000 eV per atom
Formation energy without anion corrections: -1.801 eV per atom

Geometry as Quantum ESPRESSO input:
```
&SYSTEM
  ibrav = 0, nat = 24, ntyp = 4
/
ATOMIC_SPECIES
Ni 58.69 Ni.upf
P 30.97 P.upf
Cr 52.00 Cr.upf
O 16.00 O.upf
CELL_PARAMETERS angstrom
-0.4067 4.4522 -1.3079
-3.8695 -1.4607 -3.7690
-6.9152 1.2998 6.5958
ATOMIC_POSITIONS angstrom
Ni -6.0365 0.8261 3.8004
P -7.0178 0.1615 0.9115
Cr -2.7425 1.9734 -0.0260
O -2.7495 3.6141 1.0920
O -4.9888 -0.0797 -2.8749
O -7.2638 2.0144 4.5998
O -7.4873 3.2185 0.2088
O -3.7041 1.0728 1.3102
O -6.2026 4.3710 4.3938
O -8.4418 0.6773 0.4270
O -5.2082 4.0473 1.7016
P -4.1736 4.1299 0.6074
Cr -8.4488 2.3180 1.5450
O -7.8763 3.7392 2.7635
O -3.9276 2.2770 -3.0809
O -9.5049 1.5779 2.9160
P -7.4979 3.4753 4.2740
O -6.8147 1.2915 2.0118
P -3.6935 0.8161 -2.7551
O -1.6865 2.7134 -1.3971
O -4.3767 2.9999 -0.4929
O -5.9832 0.2441 -0.1826
Ni -5.1548 3.4652 -2.2814
O -3.3150 0.5522 -1.2446
```

***

(5)
A geometry-optimized TaH3Br structure, computed with PBEsol. Values from VASP.

Calculated values
Crystal system: cubic

Geometry as Quantum ESPRESSO input:
```
&SYSTEM
  ibrav = 0, nat = 5, ntyp = 3
/
ATOMIC_SPECIES
H 1.01 H.upf
Br 79.90 Br.upf
Ta 180.95 Ta.upf
CELL_PARAMETERS angstrom
3.6171 0.0000 0.0000
0.0000 3.6171 0.0000
0.0000 0.0000 3.6171
ATOMIC_POSITIONS angstrom
H 1.8085 0.0000 0.0000
H 0.0000 1.8085 0.0000
H 0.0000 0.0000 1.8085
Br 0.0000 0.0000 0.0000
Ta 1.8085 1.8085 1.8085
```

***

(6)
A geometry-optimized LaYAs structure, computed with PBEsol. Values from VASP.

Calculated values
Crystal system: cubic
E_form: -46 meV/atom

Geometry as Quantum ESPRESSO input:
```
&SYSTEM
  ibrav = 0, nat = 3, ntyp = 3
/
ATOMIC_SPECIES
La 138.91 La.upf
As 74.92 As.upf
Y 88.91 Y.upf
CELL_PARAMETERS angstrom
4.8169 0.0000 0.0000
2.4085 4.1716 0.0000
2.4085 1.3905 3.9330
ATOMIC_POSITIONS angstrom
La 4.8169 2.7811 1.9665
As 0.0000 0.0000 0.0000
Y 7.2254 4.1716 2.9498
```

***

(7)
A geometry-optimized Mg2CdRe structure, computed with PBEsol. Values from VASP.

Calculated values
Crystal system: tetragonal
E_form: 409 meV/atom

Geometry as Quantum ESPRESSO input:
```
&SYSTEM
  ibrav = 0, nat = 4, ntyp = 3
/
ATOMIC_SPECIES
Cd 112.41 Cd.upf
Mg 24.30 Mg.upf
Re 186.21 Re.upf
CELL_PARAMETERS angstrom
3.9223 0.0000 0.0000
0.0000 4.1895 0.0000
0.0000 0.0000 4.1895
ATOMIC_POSITIONS angstrom
Cd 1.9611 0.0000 0.0000
Mg 0.0000 2.0947 0.0000
Re 1.9611 2.0947 2.0947
Mg 0.0000 0.0000 2.0947
```

***

(8)
A geometry-optimized SnCF2 structure, computed with PBEsol. Values from VASP.

Calculated values
Crystal system: trigonal
Formation energy without anion corrections: 0.501 eV per atom

Geometry as Quantum ESPRESSO input:
```
&SYSTEM
  ibrav = 0, nat = 4, ntyp = 3
/
ATOMIC_SPECIES
C 12.01 C.upf
F 19.00 F.upf
Sn 118.71 Sn.upf
CELL_PARAMETERS angstrom
3.2822 0.0000 0.0000
1.6411 2.8425 0.0000
1.6411 0.9475 6.4656
ATOMIC_POSITIONS angstrom
C 3.2822 1.8950 3.2328
F 1.6411 0.9475 4.1528
F 4.9233 2.8425 2.3128
Sn 0.0000 0.0000 0.0000
```

***

(9)
A geometry-optimized GaCoBr2 structure, computed with PBEsol. Values from VASP.

Calculated values
Crystal system: cubic
Formation energy without anion corrections: 0.318 eV per atom

Geometry as Quantum ESPRESSO input:
```
&SYSTEM
  ibrav = 0, nat = 4, ntyp = 3
/
ATOMIC_SPECIES
Co 58.93 Co.upf
Br 79.90 Br.upf
Ga 69.72 Ga.upf
CELL_PARAMETERS angstrom
-0.3084 -4.8134 0.2098
0.8065 -2.2909 4.1724
-3.6621 -2.0838 2.3568
ATOMIC_POSITIONS angstrom
Co 0.0000 0.0000 0.0000
Br -0.7910 -2.2970 1.6847
Br -2.3730 -6.8911 5.0542
Ga -1.5820 -4.5940 3.3695
```

***

(10)
A geometry-optimized MgCu2Se2 structure, computed with PBEsol. Values from VASP.

Calculated values
Crystal system: trigonal
E above lowest polymorph: 0.0000 eV per atom
Formation energy without anion corrections: -0.498 eV per atom

Geometry as Quantum ESPRESSO input:
```
&SYSTEM
  ibrav = 0, nat = 5, ntyp = 3
/
ATOMIC_SPECIES
Cu 63.55 Cu.upf
Se 78.96 Se.upf
Mg 24.30 Mg.upf
CELL_PARAMETERS angstrom
-0.7294 -2.7444 -2.6743
3.6361 0.5301 1.3091
-1.0813 -4.3593 4.7686
ATOMIC_POSITIONS angstrom
Cu 1.7493 -2.3016 1.8849
Se 1.3514 -3.9055 3.6394
Mg 0.0000 0.0000 0.0000
Cu 0.0761 -4.2720 1.5185
Se 0.4739 -2.6681 -0.2360
```

***

(11)
A geometry-optimized MgCoAg2 structure, computed with PBEsol. Values from VASP.

Calculated values
Crystal system: tetragonal
E_form: 171 meV/atom

Geometry as Quantum ESPRESSO input:
```
&SYSTEM
  ibrav = 0, nat = 4, ntyp = 3
/
ATOMIC_SPECIES
Ag 107.87 Ag.upf
Mg 24.30 Mg.upf
Co 58.93 Co.upf
CELL_PARAMETERS angstrom
-2.7900 -2.6008 1.2248
2.6877 -2.9726 -0.1898
1.0309 3.4413 3.1042
ATOMIC_POSITIONS angstrom
Ag 0.4390 -2.4592 2.3297
Ag 0.4895 0.3270 1.8095
Mg 1.3438 -1.4863 -0.0949
Co -1.3950 -1.3004 0.6124
```

***

(12)
A geometry-optimized ZrTa3 structure, computed with PBEsol. Values from VASP.

Calculated values
Crystal system: tetragonal
E_form: 84 meV/atom
E above lowest polymorph: 0.0061 eV per atom

Geometry as Quantum ESPRESSO input:
```
&SYSTEM
  ibrav = 0, nat = 4, ntyp = 2
/
ATOMIC_SPECIES
Ta 180.95 Ta.upf
Zr 91.22 Zr.upf
CELL_PARAMETERS angstrom
-0.9500 -2.1094 2.3687
2.4862 -2.0306 -0.8113
4.0570 3.1843 4.4629
ATOMIC_POSITIONS angstrom
Ta 3.1304 2.4570 3.4436
Ta 0.7681 -2.0700 0.7787
Zr 2.7966 -0.4779 3.0102
Ta 0.9266 0.7273 1.0193
```

***

no.,VASP energy (eV/atom),volume (Å³/cell)
1,-5.602,149.2
2,-12.750,45.9
3,-9.644,75.2
4,-7.633,251.4
5,-3.270,47.3
6,-5.804,79.0
7,-4.082,68.8
8,-3.939,60.3
9,-3.386,79.6
10,-4.115,86.3
11,-3.848,61.2
12,-11.602,74.8